No. 1
ZnTc4Au: optimized geometry, PBE-GGA.

Computed properties:
Total magnetization, μB/cell: 0.00
E_form, meV per atom: 490
Total energy, eV per atom: -7.18
Space-group type: F-43m, No. 216

abc: 5.1482 5.1482 5.1482
angles: 60.00 60.00 60.00
With the nearest neighbours (Å) after each atom.
Positions (direct):
Au (0.0000, 0.0000, 0.0000)  12 Tc 3.02, 4 Zn 3.15
Tc (0.8757, 0.3748, 0.3748)  6 Tc 2.57-2.58
Tc (0.3748, 0.3748, 0.3748)  6 Tc 2.57-2.58
Tc (0.3748, 0.8757, 0.3748)  6 Tc 2.57-2.58
Tc (0.3748, 0.3748, 0.8757)  6 Tc 2.57-2.58
Zn (0.7500, 0.7500, 0.7500)  12 Tc 3.02, 4 Au 3.15

No. 2
MnGe: optimized geometry, PBE-GGA.

Computed properties:
Total magnetization, μB/cell: 12.05
E_form, meV per atom: 182
Total energy, eV per atom: -6.71
Space-group type: I4/m, No. 87

abc: 8.5000 8.5000 3.8608
angles: 90.00 90.00 90.00
With the nearest neighbours (Å) after each atom.
Positions (direct):
Mn (0.1143, 0.4196, 0.0000)  4 Ge 2.33-2.56, 5 Mn 2.38-2.56
Mn (0.9196, 0.3857, 0.5000)  4 Ge 2.33-2.56, 5 Mn 2.38-2.56
Mn (0.4196, 0.8857, 0.0000)  4 Ge 2.33-2.56, 5 Mn 2.38-2.56
Mn (0.0804, 0.6143, 0.5000)  4 Ge 2.33-2.56, 5 Mn 2.38-2.56
Mn (0.6143, 0.9196, 0.5000)  4 Ge 2.33-2.56, 5 Mn 2.38-2.56
Mn (0.8857, 0.5804, 0.0000)  4 Ge 2.33-2.56, 5 Mn 2.38-2.56
Mn (0.5804, 0.1143, 0.0000)  4 Ge 2.33-2.56, 5 Mn 2.38-2.56
Mn (0.3857, 0.0804, 0.5000)  4 Ge 2.33-2.56, 5 Mn 2.38-2.56
Ge (0.7242, 0.3583, 0.0000)  4 Mn 2.33-2.56
Ge (0.6417, 0.7242, 0.0000)  4 Mn 2.33-2.56
Ge (0.8583, 0.7758, 0.5000)  4 Mn 2.33-2.56
Ge (0.1417, 0.2242, 0.5000)  4 Mn 2.33-2.56
Ge (0.2242, 0.8583, 0.5000)  4 Mn 2.33-2.56
Ge (0.2758, 0.6417, 0.0000)  4 Mn 2.33-2.56
Ge (0.3583, 0.2758, 0.0000)  4 Mn 2.33-2.56
Ge (0.7758, 0.1417, 0.5000)  4 Mn 2.33-2.56

No. 3
CuAu: optimized geometry, PBE-GGA.

Computed properties:
Total magnetization, μB/cell: 0.00
E_form, meV per atom: 143
Total energy, eV per atom: -3.54
Space-group type: Fddd, No. 70

abc: 6.9182 7.5135 10.0514
angles: 90.00 90.00 90.00
With the nearest neighbours (Å) after each atom.
Positions (direct):
Au (0.5000, 0.3094, 0.5000)  6 Cu 2.60-2.64, 1 Au 2.86
Au (0.7500, 0.5594, 0.2500)  6 Cu 2.60-2.64, 1 Au 2.86
Au (0.0000, 0.3094, 0.0000)  6 Cu 2.60-2.64, 1 Au 2.86
Au (0.7500, 0.9406, 0.2500)  6 Cu 2.60-2.64, 1 Au 2.86
Au (0.5000, 0.6906, 0.5000)  6 Cu 2.60-2.64, 1 Au 2.86
Au (0.2500, 0.5594, 0.7500)  6 Cu 2.60-2.64, 1 Au 2.86
Au (0.0000, 0.6906, 0.0000)  6 Cu 2.60-2.64, 1 Au 2.86
Au (0.5000, 0.1906, 0.0000)  6 Cu 2.60-2.64, 1 Au 2.86
Au (0.2500, 0.9406, 0.7500)  6 Cu 2.60-2.64, 1 Au 2.86
Au (0.5000, 0.8094, 0.0000)  6 Cu 2.60-2.64, 1 Au 2.86
Au (0.0000, 0.8094, 0.5000)  6 Cu 2.60-2.64, 1 Au 2.86
Au (0.2500, 0.4406, 0.2500)  6 Cu 2.60-2.64, 1 Au 2.86
Au (0.7500, 0.0594, 0.7500)  6 Cu 2.60-2.64, 1 Au 2.86
Au (0.0000, 0.1906, 0.5000)  6 Cu 2.60-2.64, 1 Au 2.86
Au (0.2500, 0.0594, 0.2500)  6 Cu 2.60-2.64, 1 Au 2.86
Au (0.7500, 0.4406, 0.7500)  6 Cu 2.60-2.64, 1 Au 2.86
Cu (0.5706, 0.7500, 0.7500)  1 Cu 2.48, 6 Au 2.60-2.64
Cu (0.0706, 0.2500, 0.7500)  1 Cu 2.48, 6 Au 2.60-2.64
Cu (0.3206, 0.5000, 0.0000)  1 Cu 2.48, 6 Au 2.60-2.64
Cu (0.9294, 0.7500, 0.7500)  1 Cu 2.48, 6 Au 2.60-2.64
Cu (0.8206, 0.5000, 0.5000)  1 Cu 2.48, 6 Au 2.60-2.64
Cu (0.4294, 0.2500, 0.7500)  1 Cu 2.48, 6 Au 2.60-2.64
Cu (0.0706, 0.7500, 0.2500)  1 Cu 2.48, 6 Au 2.60-2.64
Cu (0.6794, 0.5000, 0.0000)  1 Cu 2.48, 6 Au 2.60-2.64
Cu (0.5706, 0.2500, 0.2500)  1 Cu 2.48, 6 Au 2.60-2.64
Cu (0.6794, 0.0000, 0.5000)  1 Cu 2.48, 6 Au 2.60-2.64
Cu (0.3206, 0.0000, 0.5000)  1 Cu 2.48, 6 Au 2.60-2.64
Cu (0.8206, 0.0000, 0.0000)  1 Cu 2.48, 6 Au 2.60-2.64
Cu (0.1794, 0.0000, 0.0000)  1 Cu 2.48, 6 Au 2.60-2.64
Cu (0.9294, 0.2500, 0.2500)  1 Cu 2.48, 6 Au 2.60-2.64
Cu (0.1794, 0.5000, 0.5000)  1 Cu 2.48, 6 Au 2.60-2.64
Cu (0.4294, 0.7500, 0.2500)  1 Cu 2.48, 6 Au 2.60-2.64

No. 4
Cr4AgPb: optimized geometry, PBE-GGA.

Computed properties:
Total magnetization, μB/cell: 0.00
E_form, meV per atom: 654
Total energy, eV per atom: -6.86
Space-group type: F-43m, No. 216

abc: 5.0094 5.0094 5.0094
angles: 60.00 60.00 60.00
With the nearest neighbours (Å) after each atom.
Positions (direct):
Cr (0.8900, 0.3700, 0.3700)  6 Cr 2.40-2.61
Cr (0.3700, 0.3700, 0.8900)  6 Cr 2.40-2.61
Cr (0.3700, 0.8900, 0.3700)  6 Cr 2.40-2.61
Cr (0.3700, 0.3700, 0.3700)  6 Cr 2.40-2.61
Pb (0.7500, 0.7500, 0.7500)  12 Cr 2.95, 4 Ag 3.07
Ag (0.0000, 0.0000, 0.0000)  12 Cr 2.93, 4 Pb 3.07